VASP calculation (PBE) on an optimized crystal structure of Dy2Cu3Au.

Properties
crystal system = tetragonal
ΔE_f = -0.3549 eV/atom
calculated density = 10.60 Mg/m³

a = 3.566 Å, b = 3.566 Å, c = 8.781 Å
α = 90.00°, β = 90.00°, γ = 90.00°
Fractional positions:
Dy  0.000  0.000  0.000
Dy  0.500  0.500  0.490
Cu  0.000  0.000  0.322
Cu  0.000  0.000  0.659
Cu  0.500  0.500  0.174
Au  0.500  0.500  0.823